# 1
MgTe2O | PBE-GGA | optimized geometry

Output
- crystal system = trigonal
- formation energy from raw total energies (eV per atom) = 0.217
- polymorph energy (0 for the lowest one) (meV per atom) = 536

The structure in POSCAR format:
```
MgTe2O
1.0
1.885 0.000 9.496
-0.943 1.633 9.496
-0.943 -1.633 9.496
Mg Te O
1 2 1
Direct
0.000 0.000 0.000
0.896 0.896 0.896
0.104 0.104 0.104
0.500 0.500 0.500
```

***

# 2
Zr2AlGa2Co5 | PBE-GGA | optimized geometry

Output
- crystal system = tetragonal

The structure in POSCAR format:
```
Zr2AlGa2Co5
1.0
-2.212 2.218 1.200
-0.661 -4.844 7.731
6.846 4.861 3.631
Zr Al Ga Co
4 2 4 10
Direct
0.000 0.674 0.174
0.000 0.326 0.826
0.000 0.174 0.326
0.000 0.826 0.674
0.000 0.000 0.000
0.000 0.500 0.500
0.000 0.124 0.624
0.000 0.876 0.376
0.000 0.624 0.876
0.000 0.376 0.124
0.500 0.204 0.060
0.500 0.796 0.940
0.500 0.060 0.796
0.500 0.704 0.440
0.500 0.940 0.204
0.500 0.296 0.560
0.500 0.560 0.704
0.500 0.440 0.296
0.500 0.500 0.000
0.500 0.000 0.500
```

***

# 3
ZrPaTiGa | PBE-GGA | optimized geometry

Output
- crystal system = cubic

The structure in POSCAR format:
```
ZrPaTiGa
1.0
-2.916 -1.822 3.382
1.780 -1.236 4.308
-1.095 2.613 3.902
Pa Ga Zr Ti
1 1 1 1
Direct
0.500 0.500 0.500
0.000 0.000 0.000
0.750 0.750 0.750
0.250 0.250 0.250
```

***

# 4
TcAg3 | PBE-GGA | optimized geometry

Output
- crystal system = tetragonal
- polymorph energy (0 for the lowest one) (meV per atom) = 188

The structure in POSCAR format:
```
TcAg3
1.0
-2.514 2.514 5.626
2.514 -2.514 5.626
2.514 2.514 -5.626
Tc Ag
2 6
Direct
0.400 0.400 0.000
0.600 0.600 0.000
0.500 0.000 0.500
0.131 0.131 0.000
0.869 0.869 0.000
0.750 0.250 0.500
0.250 0.750 0.500
0.000 0.500 0.500
```

***

| no. | size of the total moment (μB/cell) | E_tot (eV per atom) |
| --- | --- | --- |
| 1 | 0.00 | -2.99 |
| 2 | 0.00 | -6.53 |
| 3 | 0.22 | -7.30 |
| 4 | 1.10 | -4.23 |